## a
Tb2Pm4Cd, optimized geometry, DFT PBE-GGA; DOS(E_F) = 1.27 states/eV/atom; space-group type = Cmmm, No. 65; total magnetic moment = 0.00 Bohr magnetons per cell; calculated density = 7416 kg/m³
1.0
-0.735 -1.905 2.975
-1.043 -2.766 -2.029
16.712 -5.258 -1.428
Tb Pm Cd
2 4 1
direct
0.793 0.500 0.586
0.207 0.500 0.414
0.062 0.500 0.123
0.637 0.000 0.273
0.938 0.500 0.877
0.363 0.000 0.727
0.500 0.000 0.000



## b
Tb2Pm4Cd, optimized geometry, DFT PBE-GGA; DOS(E_F) = 1.30 states/eV/atom; space-group type = C2/m, No. 12; total magnetic moment = 0.00 Bohr magnetons per cell; calculated density = 7359 kg/m³
1.0
3.550 0.000 0.000
0.000 8.622 0.142
-1.775 -3.962 7.384
Tb Pm Cd
2 4 1
direct
0.783 0.861 0.566
0.217 0.139 0.434
0.082 0.703 0.165
0.630 0.389 0.261
0.370 0.611 0.739
0.918 0.297 0.835
0.000 0.000 0.000



Relative stability in kJ/mol of atoms, measured from the most stable structure: a 0.0; b 4.1